[1]
Compound: Hf2MnAl2
Source: the Alexandria database
Functional: PBE
Structure: optimized geometry

```
5
Lattice="4.0104 0.0000 0.0000 0.0000 4.0104 0.0000 2.0052 2.0052 6.4328" Properties=species:S:1:pos:R:3 pbc="T T T"
Mn 0.0000 0.0000 0.0000
Hf 4.0104 2.0052 3.2164
Hf 2.0052 4.0104 3.2164
Al 2.0052 2.0052 1.2041
Al 4.0104 4.0104 5.2287
```

Values from the calculation:
formation energy = 2.06 eV/f.u.

[2]
Compound: HfMnAl
Source: the Alexandria database
Functional: PBE
Structure: optimized geometry

```
12
Lattice="2.5933 -4.3959 0.0000 2.5933 4.3959 0.0000 0.0000 0.0000 8.3481" Properties=species:S:1:pos:R:3 pbc="T T T"
Hf 2.5933 -1.4535 2.5463
Hf 2.5933 1.4840 1.4793
Hf 2.5933 1.4840 6.8688
Hf 2.5933 -1.4535 5.8018
Mn 2.5933 2.9356 4.1740
Mn 1.3737 -0.8259 0.0000
Mn 3.8128 -0.8259 0.0000
Mn 2.5933 -2.8258 0.0000
Al 2.5933 4.3537 1.9749
Al 2.5933 4.3537 6.3731
Al 3.8630 0.7807 4.1740
Al 1.3235 0.7807 4.1740
```

Values from the calculation:
formation energy = -1.07 eV/f.u.